No. 1
Below is a relaxed HgBi2HPt crystal, with properties calculated at the PBE-GGA level.

total magnetization = 0.00 μB per formula unit
E_tot = -17.4 eV/f.u.
symmetry = P4/mmm

a b c (Å): 5.6473 5.6473 3.4634
angles (deg): 90.00 90.00 90.00
Sites, in units of the cell vectors:
Hg: 0.0000 0.0000 0.0000
Bi: 0.0000 0.5000 0.5000
Bi: 0.5000 0.0000 0.5000
H: 0.5000 0.5000 0.0000
Pt: 0.5000 0.5000 0.5000

=====

No. 2
Below is a relaxed HgBi2HRh crystal, with properties calculated at the PBE-GGA level.

total magnetization = 0.00 μB per formula unit
E_tot = -18.4 eV/f.u.
symmetry = P4/mmm

a b c (Å): 5.5558 5.5558 3.4297
angles (deg): 90.00 90.00 90.00
Sites, in units of the cell vectors:
Hg: 0.0000 0.0000 0.0000
Bi: 0.0000 0.5000 0.5000
Bi: 0.5000 0.0000 0.5000
H: 0.5000 0.5000 0.0000
Rh: 0.5000 0.5000 0.5000

=====

No. 3
Below is a relaxed SrHg2BiH crystal, with properties calculated at the PBE-GGA level.

total magnetization = 0.00 μB per formula unit
E_tot = -10.7 eV/f.u.
symmetry = P4/mmm

a b c (Å): 5.0221 5.0221 4.7815
angles (deg): 90.00 90.00 90.00
Sites, in units of the cell vectors:
Sr: 0.0000 0.0000 0.0000
Hg: 0.0000 0.5000 0.5000
Hg: 0.5000 0.0000 0.5000
Bi: 0.5000 0.5000 0.0000
H: 0.0000 0.0000 0.5000

=====

No. 4
Below is a relaxed Ti7HgBi2H2 crystal, with properties calculated at the PBE-GGA level.

total magnetization = 0.00 μB per formula unit
E_tot = -72.8 eV/f.u.
symmetry = I4/mmm

a b c (Å): 11.5752 11.5752 11.5752
angles (deg): 159.15 159.15 29.65
Sites, in units of the cell vectors:
Ti: 0.0000 0.0000 0.0000
Ti: 0.0925 0.5925 0.5000
Ti: 0.1795 0.1795 0.0000
Ti: 0.4075 0.9075 0.5000
Ti: 0.5925 0.0925 0.5000
Ti: 0.8205 0.8205 0.0000
Ti: 0.9075 0.4075 0.5000
Hg: 0.5000 0.5000 0.0000
Bi: 0.3115 0.3115 0.0000
Bi: 0.6885 0.6885 0.0000
H: 0.0905 0.0905 0.0000
H: 0.9095 0.9095 0.0000

=====

No. 5
Below is a relaxed TlHg2BiH crystal, with properties calculated at the PBE-GGA level.

total magnetization = 0.00 μB per formula unit
E_tot = -9.0 eV/f.u.
symmetry = P4/mmm

a b c (Å): 5.4456 5.4456 4.2490
angles (deg): 90.00 90.00 90.00
Sites, in units of the cell vectors:
Tl: 0.0000 0.0000 0.0000
Hg: 0.0000 0.5000 0.5000
Hg: 0.5000 0.0000 0.5000
Bi: 0.5000 0.5000 0.0000
H: 0.5000 0.5000 0.5000

=====

No. 6
Below is a relaxed TlHg2BiH crystal, with properties calculated at the PBE-GGA level.

total magnetization = 0.00 μB per formula unit
E_tot = -9.0 eV/f.u.
symmetry = P4/mmm

a b c (Å): 6.0277 6.0277 4.0211
angles (deg): 90.00 90.00 90.00
Sites, in units of the cell vectors:
Tl: 0.0000 0.0000 0.0000
Hg: 0.0000 0.5000 0.5000
Hg: 0.5000 0.0000 0.5000
Bi: 0.5000 0.5000 0.5000
H: 0.5000 0.5000 0.0000

=====

No. 7
Below is a relaxed YHg2BiH crystal, with properties calculated at the PBE-GGA level.

total magnetization = 0.00 μB per formula unit
E_tot = -15.3 eV/f.u.
symmetry = P4/mmm

a b c (Å): 4.9396 4.9396 4.4732
angles (deg): 90.00 90.00 90.00
Sites, in units of the cell vectors:
Y: 0.0000 0.0000 0.0000
Hg: 0.0000 0.5000 0.5000
Hg: 0.5000 0.0000 0.5000
Bi: 0.5000 0.5000 0.0000
H: 0.0000 0.0000 0.5000

=====

No. 8
Below is a relaxed ZnHg2BiH crystal, with properties calculated at the PBE-GGA level.

total magnetization = 0.00 μB per formula unit
E_tot = -7.4 eV/f.u.
symmetry = P4/mmm

a b c (Å): 6.0379 6.0379 4.1178
angles (deg): 90.00 90.00 90.00
Sites, in units of the cell vectors:
Zn: 0.0000 0.0000 0.0000
Hg: 0.0000 0.5000 0.5000
Hg: 0.5000 0.0000 0.5000
Bi: 0.5000 0.5000 0.5000
H: 0.5000 0.5000 0.0000

=====

No. 9
Below is a relaxed Ho4Bi5H2 crystal, with properties calculated at the PBE-GGA level.

total magnetization = 0.00 μB per formula unit
E_tot = -49.9 eV/f.u.
symmetry = C2/m

a b c (Å): 8.8050 8.8050 8.9268
angles (deg): 95.25 95.25 26.01
Sites, in units of the cell vectors:
Ho: 0.0331 0.0331 0.2295
Ho: 0.2916 0.2916 0.7981
Ho: 0.7084 0.7084 0.2019
Ho: 0.9669 0.9669 0.7705
Bi: 0.1329 0.1329 0.9430
Bi: 0.1712 0.1712 0.5007
Bi: 0.5000 0.5000 0.5000
Bi: 0.8288 0.8288 0.4993
Bi: 0.8671 0.8671 0.0570
H: 0.4167 0.4167 0.7950
H: 0.5833 0.5833 0.2050

=====

No. 10
Below is a relaxed Ho2BiH crystal, with properties calculated at the PBE-GGA level.

total magnetization = 0.00 μB per formula unit
E_tot = -17.8 eV/f.u.
symmetry = R-3m

a b c (Å): 6.8573 6.8573 6.8573
angles (deg): 34.98 34.98 34.98
Sites, in units of the cell vectors:
Ho: 0.2335 0.2335 0.2335
Ho: 0.7665 0.7665 0.7665
Bi: 0.0000 0.0000 0.0000
H: 0.5000 0.5000 0.5000

=====

No. 11
Below is a relaxed Ho3Bi2H crystal, with properties calculated at the PBE-GGA level.

total magnetization = 0.00 μB per formula unit
E_tot = -27.9 eV/f.u.
symmetry = C2/c

a b c (Å): 7.1601 7.1601 7.8897
angles (deg): 98.78 98.78 52.37
Sites, in units of the cell vectors:
Ho: 0.1415 0.8585 0.7500
Ho: 0.2588 0.4518 0.3315
Ho: 0.4518 0.2588 0.8315
Ho: 0.5482 0.7412 0.1685
Ho: 0.7412 0.5482 0.6685
Ho: 0.8585 0.1415 0.2500
Bi: 0.1003 0.2291 0.0193
Bi: 0.2291 0.1003 0.5193
Bi: 0.7709 0.8997 0.4807
Bi: 0.8997 0.7709 0.9807
H: 0.4762 0.5238 0.7500
H: 0.5238 0.4762 0.2500

=====

No. 12
Below is a relaxed HoBiH crystal, with properties calculated at the PBE-GGA level.

total magnetization = 0.00 μB per formula unit
E_tot = -13.7 eV/f.u.
symmetry = P-6m2

a b c (Å): 3.7835 3.7835 4.8344
angles (deg): 90.00 90.00 120.00
Sites, in units of the cell vectors:
Ho: 0.0000 0.0000 0.0000
Bi: 0.6667 0.3333 0.5000
H: 0.3333 0.6667 0.0000